# MnNiMo2

A relaxed structure of MnNiMo2 (GGA-PBE, Alexandria via LeMat-Bulk).

As for the formation energy: 0.116 eV/atom. The value obtained for the raw total energy is -9.037 eV per atom. As for the magnetization: 2.6 μB per formula unit. The calculation puts the energy above the most stable polymorph in this dataset at 0.053 eV per atom.

It has space group P4mm (No. 99), with a = 3.1354 Å, b = 3.1354 Å, c = 5.6576 Å, α = 90.00°, β = 90.00° and γ = 90.00°. Symmetry generates all atoms from Mn at (0.0000, 0.0000, 0.0000), Ni at (0.5000, 0.5000, 0.7685), Mo at (0.0000, 0.0000, 0.5207) and Mo at (0.5000, 0.5000, 0.2508).